This record from Alexandria describes a relaxed structure of KCoTc2. The functional is PBE.

Output
Relative energy among the computed polymorphs: 55.7 kJ per mole of atoms
Energy relative to the elements: 1.318 eV/atom

a = 5.701 Å, b = 5.701 Å, c = 2.507 Å
α = 90.00°, β = 90.00°, γ = 124.56°
Last column: magnetic moment on the atom in μB.
Fractional positions:
Tc 0.500 0.500 0.000  0.17
Tc 0.000 0.000 0.000  0.17
K 0.000 0.500 0.500  -0.01
Co 0.500 0.000 0.500  1.73



This record from Alexandria describes a relaxed structure of K4CoTc. The functional is PBE.

Output
Energy relative to the elements: 1.548 eV/atom

a = 6.998 Å, b = 6.998 Å, c = 6.998 Å
α = 60.00°, β = 60.00°, γ = 60.00°
Last column: magnetic moment on the atom in μB.
Fractional positions:
Co 0.000 0.000 0.000  2.12
K 0.375 0.375 0.375  -0.01
K 0.375 0.876 0.375  -0.01
K 0.876 0.375 0.375  -0.01
K 0.375 0.375 0.876  -0.01
Tc 0.750 0.750 0.750  3.32



no.,magnetization (μB/f.u.)
1,2.0
2,5.9